PuBi2PdO8 GGA-PBE optimized geometry; space group = P-1 (2); crystal system = triclinic; E_form (uncorrected) = -1.40 eV per atom
1.0
5.112 0.000 0.000
0.363 5.099 0.000
0.706 0.672 7.032
Pu Bi Pd O
1 2 1 8
direct
0.000 0.000 0.000
0.454 0.455 0.262
0.546 0.545 0.738
0.000 0.000 0.500
0.151 0.152 0.240
0.211 0.215 0.829
0.289 0.712 0.500
0.302 0.701 0.999
0.698 0.299 0.001
0.711 0.288 0.500
0.789 0.785 0.171
0.849 0.848 0.760

***

SbRuCl2 GGA-PBE optimized geometry; energy above the lowest structure with this stoichiometry = 823 meV/atom; space group = Cmmm (65); crystal system = orthorhombic; E_form (uncorrected) = 0.65 eV per atom
1.0
3.068 -4.327 0.000
3.068 4.327 0.000
0.000 0.000 3.085
Sb Ru Cl
1 1 2
direct
0.000 0.000 0.000
0.500 0.500 0.000
0.000 0.500 0.500
0.500 0.000 0.500

***

Sr2Cu5Si3 GGA-PBE optimized geometry; space group = Ibam (72); crystal system = orthorhombic; E_form (uncorrected) = -0.25 eV per atom
1.0
-4.979 5.882 3.017
4.979 -5.882 3.017
4.979 5.882 -3.017
Sr Cu Si
4 10 6
direct
0.126 0.246 0.372
0.374 0.746 0.121
0.626 0.254 0.879
0.874 0.754 0.628
0.002 0.250 0.752
0.115 0.632 0.747
0.250 0.250 0.000
0.385 0.132 0.517
0.498 0.250 0.248
0.502 0.750 0.752
0.615 0.868 0.483
0.750 0.750 0.000
0.885 0.368 0.253
0.998 0.750 0.248
0.127 0.877 0.004
0.250 0.750 0.500
0.373 0.377 0.750
0.627 0.623 0.250
0.750 0.250 0.500
0.873 0.123 0.996

***

TlTc2O GGA-PBE optimized geometry; energy above the lowest structure with this stoichiometry = 0 meV/atom; space group = I-42d (122); crystal system = tetragonal; E_form (uncorrected) = 0.27 eV per atom
1.0
-3.288 3.288 2.986
3.288 -3.288 2.986
3.288 3.288 -2.986
Tl Tc O
2 4 2
direct
0.000 0.000 0.000
0.750 0.250 0.500
0.248 0.625 0.123
0.375 0.498 0.623
0.502 0.125 0.877
0.875 0.752 0.377
0.250 0.750 0.500
0.500 0.500 0.000

***

Dy3UN4 GGA-PBE optimized geometry; space group = Cmmm (65); crystal system = orthorhombic; E_form (uncorrected) = -1.62 eV per atom
1.0
3.472 -4.869 0.000
3.472 4.869 0.000
0.000 0.000 3.461
Dy U N
3 1 4
direct
0.000 0.000 0.000
0.000 0.500 0.500
0.500 0.000 0.500
0.500 0.500 0.000
0.260 0.260 0.500
0.263 0.737 0.000
0.737 0.263 0.000
0.740 0.740 0.500

***

Si23Br GGA-PBE optimized geometry; space group = Pm-3n (223); crystal system = cubic; E_form (uncorrected) = 0.07 eV per atom
1.0
10.246 0.000 0.000
0.000 10.246 0.000
0.000 0.000 10.246
Si Br
46 2
direct
0.000 0.117 0.308
0.000 0.117 0.692
0.000 0.250 0.500
0.000 0.750 0.500
0.000 0.883 0.308
0.000 0.883 0.692
0.117 0.308 0.000
0.117 0.692 0.000
0.183 0.183 0.183
0.183 0.183 0.817
0.183 0.817 0.183
0.183 0.817 0.817
0.192 0.383 0.500
0.192 0.617 0.500
0.250 0.500 0.000
0.308 0.000 0.117
0.308 0.000 0.883
0.317 0.317 0.317
0.317 0.317 0.683
0.317 0.683 0.317
0.317 0.683 0.683
0.383 0.500 0.192
0.383 0.500 0.808
0.500 0.000 0.250
0.500 0.000 0.750
0.500 0.192 0.383
0.500 0.192 0.617
0.500 0.808 0.383
0.500 0.808 0.617
0.617 0.500 0.192
0.617 0.500 0.808
0.683 0.317 0.317
0.683 0.317 0.683
0.683 0.683 0.317
0.683 0.683 0.683
0.692 0.000 0.117
0.692 0.000 0.883
0.750 0.500 0.000
0.808 0.383 0.500
0.808 0.617 0.500
0.817 0.183 0.183
0.817 0.183 0.817
0.817 0.817 0.183
0.817 0.817 0.817
0.883 0.308 0.000
0.883 0.692 0.000
0.000 0.000 0.000
0.500 0.500 0.500

***

Zr5Bi3 GGA-PBE optimized geometry; energy above the lowest structure with this stoichiometry = 0 meV/atom; space group = Pnma (62); crystal system = orthorhombic; energy relative to the elements = -0.34 eV per atom
1.0
10.983 0.000 0.000
0.000 9.098 0.000
0.000 0.000 7.794
Zr Bi
20 12
direct
0.002 0.250 0.024
0.049 0.062 0.702
0.049 0.438 0.702
0.213 0.750 0.315
0.232 0.250 0.317
0.268 0.750 0.817
0.287 0.250 0.815
0.451 0.562 0.202
0.451 0.938 0.202
0.498 0.750 0.524
0.502 0.250 0.476
0.549 0.062 0.798
0.549 0.438 0.798
0.713 0.750 0.185
0.732 0.250 0.183
0.768 0.750 0.683
0.787 0.250 0.685
0.951 0.562 0.298
0.951 0.938 0.298
0.998 0.750 0.976
0.031 0.750 0.592
0.181 0.505 0.061
0.181 0.995 0.061
0.319 0.005 0.561
0.319 0.495 0.561
0.469 0.250 0.092
0.531 0.750 0.908
0.681 0.505 0.439
0.681 0.995 0.439
0.819 0.005 0.939
0.819 0.495 0.939
0.969 0.250 0.408

***

PrY2Ho3Bi6 GGA-PBE optimized geometry; space group = C2/m (12); crystal system = monoclinic; energy relative to the elements = -0.87 eV per atom
1.0
9.803 -2.250 0.000
9.803 2.250 0.000
-2.056 0.000 8.761
Pr Y Ho Bi
1 2 3 6
direct
0.000 0.000 0.000
0.333 0.333 0.666
0.667 0.667 0.334
0.000 0.000 0.500
0.335 0.335 0.168
0.665 0.665 0.832
0.166 0.166 0.584
0.170 0.170 0.083
0.500 0.500 0.258
0.500 0.500 0.742
0.830 0.830 0.917
0.834 0.834 0.416

***

RbY2Sc GGA-PBE optimized geometry; energy above the lowest structure with this stoichiometry = 0 meV/atom; space group = Fm-3m (225); crystal system = cubic; energy relative to the elements = 0.68 eV per atom
1.0
0.000 4.108 4.108
4.108 0.000 4.108
4.108 4.108 0.000
Rb Y Sc
1 2 1
direct
0.000 0.000 0.000
0.250 0.250 0.250
0.750 0.750 0.750
0.500 0.500 0.500

***

LaTbPmSm2 GGA-PBE optimized geometry; space group = P2/c (13); crystal system = monoclinic; energy relative to the elements = 0.27 eV per atom
1.0
8.676 0.000 0.000
0.000 6.581 0.000
-1.123 0.000 6.241
La Tb Pm Sm
2 2 2 4
direct
0.000 0.000 0.000
0.000 0.000 0.500
0.000 0.445 0.250
0.000 0.555 0.750
0.500 0.162 0.250
0.500 0.838 0.750
0.314 0.322 0.692
0.314 0.678 0.192
0.686 0.322 0.808
0.686 0.678 0.308

***

LiReRh4 GGA-PBE optimized geometry; space group = F-43m (216); crystal system = cubic; energy relative to the elements = 0.34 eV per atom
1.0
0.000 3.566 3.566
3.566 0.000 3.566
3.566 3.566 0.000
Li Re Rh
1 1 4
direct
0.000 0.000 0.000
0.250 0.250 0.250
0.124 0.625 0.625
0.625 0.124 0.625
0.625 0.625 0.124
0.625 0.625 0.625

***

BiPO2F GGA-PBE optimized geometry; space group = P4/mmm (123); crystal system = tetragonal; E_form (uncorrected) = -0.70 eV per atom
1.0
3.927 0.000 0.000
0.000 3.927 0.000
0.000 0.000 4.320
Bi P O F
1 1 2 1
direct
0.000 0.000 0.000
0.500 0.500 0.500
0.000 0.500 0.500
0.500 0.000 0.500
0.500 0.500 0.000

***

Li3CeU3Se8 GGA-PBE optimized geometry; space group = R-3m (166); crystal system = trigonal; E_form (uncorrected) = -1.28 eV per atom
1.0
4.097 2.365 6.529
-4.097 2.365 6.529
0.000 -4.731 6.529
Li Ce U Se
3 1 3 8
direct
0.000 0.500 0.500
0.500 0.000 0.500
0.500 0.500 0.000
0.500 0.500 0.500
0.000 0.000 0.500
0.000 0.500 0.000
0.500 0.000 0.000
0.246 0.246 0.754
0.246 0.754 0.246
0.246 0.754 0.754
0.253 0.253 0.253
0.747 0.747 0.747
0.754 0.246 0.246
0.754 0.246 0.754
0.754 0.754 0.246

***

no.,final energy (eV/atom)
1,-6.982
2,-3.626
3,-4.263
4,-6.742
5,-8.924
6,-5.201
7,-7.141
8,-5.434
9,-4.377
10,-4.481
11,-6.959
12,-4.918
13,-6.172